Entry 1:
A plane-wave DFT calculation with meta-GGA SCAN was carried out for a crystal of MgCr2Tc relaxed with PBEsol.

Results
- E (eV per atom) = -18.813
- formation energy (eV/atom) = 0.3876
- density of states at the Fermi level (states/eV per cell) = 4.1

a = 4.984 Å, b = 4.984 Å, c = 2.526 Å
α = 99.92°, β = 99.92°, γ = 117.35°
Sites, in units of the cell vectors:
Mg1 0.000 0.000 0.000
Cr1 0.000 0.500 0.500
Cr2 0.500 0.000 0.500
Tc1 0.500 0.500 0.000

=====

Entry 2:
A plane-wave DFT calculation with meta-GGA SCAN was carried out for a crystal of YOs3Br relaxed with PBEsol.

Results
- E (eV per atom) = -50.954
- density of states at the Fermi level (states/eV per cell) = 3.8
- uncorrected formation energy (kJ per mole of atoms) = 157.66

a = 4.565 Å, b = 4.565 Å, c = 4.565 Å
α = 90.00°, β = 90.00°, γ = 90.00°
Sites, in units of the cell vectors:
Y1 0.000 0.000 0.000
Os1 0.000 0.500 0.500
Os2 0.500 0.000 0.500
Os3 0.500 0.500 0.000
Br1 0.500 0.500 0.500

=====

Entry 3:
A plane-wave DFT calculation with meta-GGA SCAN was carried out for a crystal of Rb2CaSnAs relaxed with PBEsol.

Results
- E (eV per atom) = -21.571
- formation energy (eV/atom) = -0.1202
- density of states at the Fermi level (states/eV per cell) = 1.4

a = 6.559 Å, b = 6.559 Å, c = 5.527 Å
α = 90.00°, β = 90.00°, γ = 90.00°
Sites, in units of the cell vectors:
Rb1 0.000 0.500 0.000
Rb2 0.500 0.000 0.000
Ca1 0.000 0.000 0.500
Sn1 0.500 0.500 0.500
As1 0.000 0.000 0.000

=====

Entry 4:
A plane-wave DFT calculation with meta-GGA SCAN was carried out for a crystal of Ba3Nd3Co6O17 relaxed with PBEsol.

Results
- E (eV per atom) = -18.100
- density of states at the Fermi level (states/eV per cell) = 9.8
- uncorrected formation energy (kJ per mole of atoms) = -218.70

a = 8.442 Å, b = 8.442 Å, c = 9.285 Å
α = 121.95°, β = 121.95°, γ = 37.70°
Sites, in units of the cell vectors:
Ba1 0.000 0.000 0.000
Ba2 0.333 0.333 0.669
Ba3 0.667 0.667 0.331
Nd1 0.174 0.174 0.850
Nd2 0.500 0.500 0.500
Nd3 0.826 0.826 0.150
Co1 0.087 0.087 0.414
Co2 0.255 0.255 0.252
Co3 0.418 0.418 0.086
Co4 0.582 0.582 0.914
Co5 0.745 0.745 0.748
Co6 0.913 0.913 0.586
O1 0.072 0.578 0.919
O2 0.091 0.611 0.408
O3 0.175 0.175 0.339
O4 0.230 0.754 0.270
O5 0.246 0.770 0.730
O6 0.330 0.330 0.157
O7 0.389 0.909 0.592
O8 0.422 0.928 0.081
O9 0.500 0.500 0.000
O10 0.578 0.072 0.919
O11 0.611 0.091 0.408
O12 0.670 0.670 0.843
O13 0.754 0.230 0.270
O14 0.770 0.246 0.730
O15 0.825 0.825 0.661
O16 0.909 0.389 0.592
O17 0.928 0.422 0.081